KMnF3 | GGA+U | relaxed

```
KMnF3
1.0
-2.104 -3.939 7.231
5.525 0.961 2.131
-1.794 5.245 2.335
K Mn F
4 4 12
direct
0.250 0.988 0.497
0.750 0.012 0.503
0.250 0.487 0.000
0.750 0.513 0.000
0.000 0.000 0.000
0.500 0.000 0.000
0.000 0.500 0.500
0.500 0.500 0.500
0.250 0.014 0.958
0.750 0.986 0.042
0.250 0.496 0.543
0.750 0.504 0.457
0.026 0.727 0.227
0.974 0.273 0.773
0.526 0.273 0.773
0.474 0.727 0.227
0.018 0.227 0.273
0.982 0.773 0.727
0.518 0.773 0.727
0.482 0.227 0.273
```

Summary:
The value obtained for the uncorrected energy is -5.61 eV per atom. As for the symmetry: No. 11. The calculation puts the spin magnetization at 20.0 μB/cell. The density of states at the Fermi level is 0.000 states/eV/f.u.